## Tb3Sm6Dy2Tl (PBE)

Data for Tb3Sm6Dy2Tl after structural relaxation.

The structure in POSCAR format:
```
Tb3Sm6Dy2Tl
1.0
3.0860 -5.3589 0.0000
3.0860 5.3589 0.0000
-2.0862 0.0000 11.5789
Tb Sm Dy Tl
3 6 2 1
Direct
0.0000 0.0000 0.0000
0.3324 0.6676 0.0000
0.6676 0.3324 0.0000
0.0901 0.4182 0.2527
0.2541 0.2541 0.7492
0.4182 0.0901 0.2527
0.5818 0.9099 0.7473
0.7459 0.7459 0.2508
0.9099 0.5818 0.7473
0.1658 0.8342 0.5000
0.8342 0.1658 0.5000
0.5000 0.5000 0.5000
```

Results
The energy comes out at -4.4950 eV per atom.


## LaNdPt4 (PBE)

Data for LaNdPt4 after structural relaxation.

The structure in POSCAR format:
```
LaNdPt4
1.0
0.0000 3.9162 3.9162
3.9162 0.0000 3.9162
3.9162 3.9162 0.0000
La Nd Pt
1 1 4
Direct
0.0000 0.0000 0.0000
0.2500 0.2500 0.2500
0.1253 0.6249 0.6249
0.6249 0.1253 0.6249
0.6249 0.6249 0.1253
0.6249 0.6249 0.6249
```

Results
The energy comes out at -6.7213 eV per atom.


## Ge5Sb2Pd12 (PBE)

Data for Ge5Sb2Pd12 after structural relaxation.

The structure in POSCAR format:
```
Ge5Sb2Pd12
1.0
7.3066 -2.8525 0.0000
7.3066 2.8525 0.0000
-2.3265 0.0000 8.0969
Ge Sb Pd
5 2 12
Direct
0.0000 0.0000 0.0000
0.3111 0.3111 0.1455
0.3397 0.3397 0.6580
0.6603 0.6603 0.3420
0.6889 0.6889 0.8545
0.2537 0.7463 0.5000
0.7463 0.2537 0.5000
0.0592 0.5561 0.3927
0.0832 0.0832 0.7817
0.0916 0.5919 0.9140
0.4081 0.9084 0.0860
0.4439 0.9408 0.6073
0.4921 0.4921 0.1669
0.5079 0.5079 0.8331
0.5561 0.0592 0.3927
0.5919 0.0916 0.9140
0.9084 0.4081 0.0860
0.9168 0.9168 0.2183
0.9408 0.4439 0.6073
```

Results
The energy comes out at -5.2516 eV per atom. The uncorrected formation energy is -323 meV/atom.


## Nd5Dy3In2 (PBE)

Data for Nd5Dy3In2 after structural relaxation.

The structure in POSCAR format:
```
Nd5Dy3In2
1.0
-6.6137 7.7777 3.2620
6.6137 -7.7777 3.2620
6.6137 7.7777 -3.2620
Nd Dy In
10 6 4
Direct
0.1643 0.1280 0.2923
0.2500 0.2500 0.0000
0.2500 0.5015 0.2515
0.2500 0.9985 0.7485
0.3357 0.6280 0.9637
0.6643 0.3720 0.0363
0.7500 0.0015 0.2515
0.7500 0.4985 0.7485
0.7500 0.7500 0.0000
0.8357 0.8720 0.7077
0.2261 0.3941 0.6202
0.2500 0.7500 0.5000
0.2739 0.8941 0.1679
0.7261 0.1059 0.8321
0.7500 0.2500 0.5000
0.7739 0.6059 0.3798
0.1436 0.6250 0.7687
0.3564 0.1250 0.4814
0.6436 0.8750 0.5186
0.8564 0.3750 0.2313
```

Results
The energy comes out at -4.1960 eV per atom.


## La9Dy4Th (PBE)

Data for La9Dy4Th after structural relaxation.

The structure in POSCAR format:
```
La9Dy4Th
1.0
10.1164 0.0000 0.0000
-5.0582 8.7611 0.0000
0.0000 0.0000 11.4896
La Dy Th
18 8 2
Direct
0.0733 0.5367 0.2500
0.2074 0.4149 0.5353
0.2074 0.4149 0.9647
0.2074 0.7926 0.5353
0.2074 0.7926 0.9647
0.4149 0.2074 0.0353
0.4149 0.2074 0.4647
0.4633 0.5367 0.2500
0.4633 0.9267 0.2500
0.5367 0.0733 0.7500
0.5367 0.4633 0.7500
0.5851 0.7926 0.5353
0.5851 0.7926 0.9647
0.7926 0.2074 0.0353
0.7926 0.2074 0.4647
0.7926 0.5851 0.0353
0.7926 0.5851 0.4647
0.9267 0.4633 0.7500
0.0000 0.0000 0.0000
0.0000 0.0000 0.5000
0.1095 0.2189 0.2500
0.1095 0.8905 0.2500
0.2189 0.1095 0.7500
0.7811 0.8905 0.2500
0.8905 0.1095 0.7500
0.8905 0.7811 0.7500
0.3333 0.6667 0.7500
0.6667 0.3333 0.2500
```

Results
The energy comes out at -4.8621 eV per atom.


## Na2La2Os (PBE)

Data for Na2La2Os after structural relaxation.

The structure in POSCAR format:
```
Na2La2Os
1.0
-2.9002 2.9002 3.9064
2.9002 -2.9002 3.9064
2.9002 2.9002 -3.9064
Na La Os
2 2 1
Direct
0.1434 0.1434 0.0000
0.8566 0.8566 0.0000
0.2500 0.7500 0.5000
0.7500 0.2500 0.5000
0.5000 0.5000 0.0000
```

Results
The energy comes out at -3.9277 eV per atom.


## CaThAu2 (PBE)

Data for CaThAu2 after structural relaxation.

The structure in POSCAR format:
```
CaThAu2
1.0
5.2757 0.0000 0.0000
0.0000 5.2757 0.0000
0.0000 0.0000 3.5884
Ca Th Au
1 1 2
Direct
0.0000 0.0000 0.0000
0.5000 0.5000 0.0000
0.0000 0.5000 0.5000
0.5000 0.0000 0.5000
```

Results
The energy comes out at -4.6866 eV per atom.


## Zn2SnSe4 (PBE)

Data for Zn2SnSe4 after structural relaxation.

The structure in POSCAR format:
```
Zn2SnSe4
1.0
5.7230 0.0000 0.0000
0.0000 5.7230 0.0000
0.0000 0.0000 5.6344
Zn Sn Se
2 1 4
Direct
0.0000 0.5000 0.0000
0.5000 0.0000 0.0000
0.0000 0.0000 0.5000
0.2720 0.2720 0.7419
0.2720 0.7280 0.2581
0.7280 0.2720 0.2581
0.7280 0.7280 0.7419
```

Results
The energy comes out at -3.4598 eV per atom. The uncorrected formation energy is -533 meV/atom.


## Ca3P2Pd7 (PBE)

Data for Ca3P2Pd7 after structural relaxation.

The structure in POSCAR format:
```
Ca3P2Pd7
1.0
2.0705 -13.0006 0.0000
2.0705 13.0006 0.0000
0.0000 0.0000 4.0947
Ca P Pd
3 2 7
Direct
0.0000 0.0000 0.0000
0.1801 0.8199 0.0000
0.8199 0.1801 0.0000
0.3715 0.6285 0.5000
0.6285 0.3715 0.5000
0.0831 0.9169 0.5000
0.2828 0.7172 0.5000
0.4170 0.5830 0.0000
0.5000 0.5000 0.5000
0.5830 0.4170 0.0000
0.7172 0.2828 0.5000
0.9169 0.0831 0.5000
```

Results
The energy comes out at -5.2160 eV per atom.


## Y3US4 (PBE)

Data for Y3US4 after structural relaxation.

The structure in POSCAR format:
```
Y3US4
1.0
1.9448 1.1229 12.8565
-1.9448 1.1229 12.8565
0.0000 -2.2457 12.8565
Y U S
3 1 4
Direct
0.0000 0.0000 0.0000
0.2486 0.2486 0.2486
0.7514 0.7514 0.7514
0.5000 0.5000 0.5000
0.1252 0.1252 0.1252
0.3750 0.3750 0.3750
0.6250 0.6250 0.6250
0.8748 0.8748 0.8748
```

Results
The energy comes out at -7.7398 eV per atom. The uncorrected formation energy is -1841 meV/atom.


## Li2Fe4Ge (PBE)

Data for Li2Fe4Ge after structural relaxation.

The structure in POSCAR format:
```
Li2Fe4Ge
1.0
-2.1838 2.1838 6.3822
2.1838 -2.1838 6.3822
2.1838 2.1838 -6.3822
Li Fe Ge
2 4 1
Direct
0.1166 0.1166 0.0000
0.8834 0.8834 0.0000
0.0000 0.5000 0.5000
0.3152 0.3152 0.0000
0.5000 0.0000 0.5000
0.6848 0.6848 0.0000
0.5000 0.5000 0.0000
```

Results
The energy comes out at -5.0962 eV per atom.


## YZr2Ru (PBE)

Data for YZr2Ru after structural relaxation.

The structure in POSCAR format:
```
YZr2Ru
1.0
0.0000 3.4855 3.4855
3.4855 0.0000 3.4855
3.4855 3.4855 0.0000
Y Zr Ru
1 2 1
Direct
0.0000 0.0000 0.0000
0.5000 0.5000 0.5000
0.7500 0.7500 0.7500
0.2500 0.2500 0.2500
```

Results
The energy comes out at -8.1534 eV per atom.